[1]
DFT (PBE-GGA) results for a relaxed EuAl2Ni crystal.

The structure in CIF format:
```
data_EuAl2Ni
_chemical_formula_sum 'Eu3 Al6 Ni3'
_cell_length_a 4.1518
_cell_length_b 4.1518
_cell_length_c 16.6667
_cell_angle_alpha 90.00
_cell_angle_beta 90.00
_cell_angle_gamma 120.00
_symmetry_space_group_name_H-M 'R -3 m'
_symmetry_Int_Tables_number 166
_symmetry_space_group_name_Hall '-R 3 2"'
loop_
_atom_site_label
_atom_site_type_symbol
_atom_site_fract_x
_atom_site_fract_y
_atom_site_fract_z
Eu1 Eu 0.0000 0.0000 0.0000
Al1 Al 0.0000 0.0000 0.2006
Ni1 Ni 0.0000 0.0000 0.5000
```

Summary:
DOS(E_F) in states/eV per cell: 21.16
ρ in Mg/m³: 5.3
Raw total energy in eV/cell: -75.5
Calculated formation energy in kJ/mol of formula units: -158

***

[2]
DFT (PBE-GGA) results for a relaxed UPa2Cu crystal.

The structure in CIF format:
```
data_UPa2Cu
_chemical_formula_sum 'U3 Pa6 Cu3'
_cell_length_a 2.9970
_cell_length_b 2.9970
_cell_length_c 32.1535
_cell_angle_alpha 90.00
_cell_angle_beta 90.00
_cell_angle_gamma 120.00
_symmetry_space_group_name_H-M 'R -3 m'
_symmetry_Int_Tables_number 166
_symmetry_space_group_name_Hall '-R 3 2"'
loop_
_atom_site_label
_atom_site_type_symbol
_atom_site_fract_x
_atom_site_fract_y
_atom_site_fract_z
U1 U 0.0000 0.0000 0.0000
Pa1 Pa 0.0000 0.0000 0.0898
Cu1 Cu 0.0000 0.0000 0.5000
```

Summary:
DOS(E_F) in states/eV per cell: 21.07
ρ in Mg/m³: 15.2
Raw total energy in eV/cell: -99.5
Calculated formation energy in kJ/mol of formula units: 115

***

[3]
DFT (PBE-GGA) results for a relaxed Rb3GaMo crystal.

The structure in CIF format:
```
data_Rb3GaMo
_chemical_formula_sum 'Rb3 Ga1 Mo1'
_cell_length_a 6.764
_cell_length_b 6.764
_cell_length_c 6.764
_cell_angle_alpha 90.00
_cell_angle_beta 90.00
_cell_angle_gamma 90.00
_symmetry_space_group_name_H-M 'P m -3 m'
_symmetry_Int_Tables_number 221
_symmetry_space_group_name_Hall '-P 4 2 3'
loop_
_atom_site_label
_atom_site_type_symbol
_atom_site_fract_x
_atom_site_fract_y
_atom_site_fract_z
Rb1 Rb 0.000 0.000 0.500
Ga1 Ga 0.000 0.000 0.000
Mo1 Mo 0.500 0.500 0.500
```

Summary:
DOS(E_F) in states/eV per cell: 4.75
ρ in Mg/m³: 2.3
Raw total energy in eV/cell: -10.6
Calculated formation energy in kJ/mol of formula units: 590

***

[4]
DFT (PBE-GGA) results for a relaxed HfSCl6O crystal.

The structure in CIF format:
```
data_HfSCl6O
_chemical_formula_sum 'Hf4 S4 Cl24 O4'
_cell_length_a 7.189
_cell_length_b 22.517
_cell_length_c 7.765
_cell_angle_alpha 90.00
_cell_angle_beta 116.76
_cell_angle_gamma 90.00
_symmetry_space_group_name_H-M 'P 1 21/c 1'
_symmetry_Int_Tables_number 14
loop_
_symmetry_equiv_pos_as_xyz
'x,y,z'
'-x,-y,-z'
'-x,y+1/2,-z+1/2'
'x,-y+1/2,z+1/2'
loop_
_atom_site_label
_atom_site_type_symbol
_atom_site_fract_x
_atom_site_fract_y
_atom_site_fract_z
Hf1 Hf 0.012 0.074 0.149
S1 S 0.360 0.637 0.824
Cl1 Cl 0.192 0.163 0.168
Cl2 Cl 0.196 0.024 0.967
Cl3 Cl 0.198 0.713 0.828
Cl4 Cl 0.236 0.609 0.257
Cl5 Cl 0.245 0.033 0.446
Cl6 Cl 0.428 0.175 0.754
O1 O 0.217 0.601 0.659
```

Summary:
DOS(E_F) in states/eV per cell: 0.00
ρ in Mg/m³: 2.6
Raw total energy in eV/cell: -167.0
E_form (uncorrected) in meV/atom: -1291

***

[5]
DFT (PBE-GGA) results for a relaxed CuNi2S6 crystal.

The structure in CIF format:
```
data_CuNi2S6
_chemical_formula_sum 'Cu2 Ni4 S12'
_cell_length_a 6.180
_cell_length_b 10.689
_cell_length_c 4.420
_cell_angle_alpha 90.00
_cell_angle_beta 90.12
_cell_angle_gamma 90.00
_symmetry_space_group_name_H-M 'C 1 2/m 1'
_symmetry_Int_Tables_number 12
loop_
_symmetry_equiv_pos_as_xyz
'x,y,z'
'-x,-y,-z'
'-x,y,-z'
'x,-y,z'
'x+1/2,y+1/2,z'
'-x+1/2,-y+1/2,-z'
'-x+1/2,y+1/2,-z'
'x+1/2,-y+1/2,z'
loop_
_atom_site_label
_atom_site_type_symbol
_atom_site_fract_x
_atom_site_fract_y
_atom_site_fract_z
Cu1 Cu 0.000 0.000 0.000
Ni1 Ni 0.000 0.333 0.500
S1 S 0.105 0.500 0.205
S2 S 0.197 0.197 0.206
```

Summary:
DOS(E_F) in states/eV per cell: 8.76
ρ in Mg/m³: 4.2
Raw total energy in eV/cell: -81.4
E_form (uncorrected) in meV/atom: -30

***

[6]
DFT (PBE-GGA) results for a relaxed ReSiP2O crystal.

The structure in CIF format:
```
data_ReSiP2O
_chemical_formula_sum 'Re1 Si1 P2 O1'
_cell_length_a 4.433
_cell_length_b 4.433
_cell_length_c 3.802
_cell_angle_alpha 90.00
_cell_angle_beta 90.00
_cell_angle_gamma 90.00
_symmetry_space_group_name_H-M 'P 4/m m m'
_symmetry_Int_Tables_number 123
_symmetry_space_group_name_Hall '-P 4 2'
loop_
_atom_site_label
_atom_site_type_symbol
_atom_site_fract_x
_atom_site_fract_y
_atom_site_fract_z
Re1 Re 0.000 0.000 0.000
Si1 Si 0.500 0.500 0.000
P1 P 0.000 0.500 0.500
O1 O 0.000 0.000 0.500
```

Summary:
DOS(E_F) in states/eV per cell: 3.09
ρ in Mg/m³: 6.5
Raw total energy in eV/cell: -29.5
E_form (uncorrected) in meV/atom: 836

***

[7]
DFT (PBE-GGA) results for a relaxed YZr2Re crystal.

The structure in CIF format:
```
data_YZr2Re
_chemical_formula_sum 'Y1 Zr2 Re1'
_cell_length_a 3.393
_cell_length_b 3.393
_cell_length_c 7.842
_cell_angle_alpha 90.00
_cell_angle_beta 90.00
_cell_angle_gamma 90.00
_symmetry_space_group_name_H-M 'P 4 m m'
_symmetry_Int_Tables_number 99
loop_
_symmetry_equiv_pos_as_xyz
'x,y,z'
'-y,x,z'
'-x,-y,z'
'y,-x,z'
'-x,y,z'
'y,x,z'
'x,-y,z'
'-y,-x,z'
loop_
_atom_site_label
_atom_site_type_symbol
_atom_site_fract_x
_atom_site_fract_y
_atom_site_fract_z
Y1 Y 0.000 0.000 0.000
Zr1 Zr 0.000 0.000 0.581
Zr2 Zr 0.500 0.500 0.332
Re1 Re 0.500 0.500 0.765
```

Summary:
DOS(E_F) in states/eV per cell: 4.05
ρ in Mg/m³: 8.4
Raw total energy in eV/cell: -35.8
Calculated formation energy in kJ/mol of formula units: 18

***

[8]
DFT (PBE-GGA) results for a relaxed Ag12SnTe7 crystal.

The structure in CIF format:
```
data_Ag12SnTe7
_chemical_formula_sum 'Ag36 Sn3 Te21'
_cell_length_a 12.8571
_cell_length_b 12.8571
_cell_length_c 10.9713
_cell_angle_alpha 90.00
_cell_angle_beta 90.00
_cell_angle_gamma 120.00
_symmetry_space_group_name_H-M 'R -3'
_symmetry_Int_Tables_number 148
_symmetry_space_group_name_Hall '-R 3'
loop_
_atom_site_label
_atom_site_type_symbol
_atom_site_fract_x
_atom_site_fract_y
_atom_site_fract_z
Ag1 Ag 0.0231 0.7658 0.2286
Ag2 Ag 0.0861 0.8456 0.5738
Sn1 Sn 0.0000 0.0000 0.0000
Te1 Te 0.0000 0.0000 0.5000
Te2 Te 0.0000 0.1976 0.1784
```

Summary:
DOS(E_F) in states/eV per cell: 2.32
ρ in Mg/m³: 7.3
Raw total energy in eV/cell: -181.4
E_form (uncorrected) in meV/atom: -13

***

[9]
DFT (PBE-GGA) results for a relaxed Ce3Tm2ScTe6 crystal.

The structure in CIF format:
```
data_Ce3Tm2ScTe6
_chemical_formula_sum 'Ce6 Tm4 Sc2 Te12'
_cell_length_a 19.225
_cell_length_b 4.317
_cell_length_c 8.873
_cell_angle_alpha 90.00
_cell_angle_beta 105.22
_cell_angle_gamma 90.00
_symmetry_space_group_name_H-M 'C 1 2/m 1'
_symmetry_Int_Tables_number 12
loop_
_symmetry_equiv_pos_as_xyz
'x,y,z'
'-x,-y,-z'
'-x,y,-z'
'x,-y,z'
'x+1/2,y+1/2,z'
'-x+1/2,-y+1/2,-z'
'-x+1/2,y+1/2,-z'
'x+1/2,-y+1/2,z'
loop_
_atom_site_label
_atom_site_type_symbol
_atom_site_fract_x
_atom_site_fract_y
_atom_site_fract_z
Ce1 Ce 0.000 0.000 0.000
Ce2 Ce 0.169 0.500 0.335
Tm1 Tm 0.166 0.500 0.832
Sc1 Sc 0.000 0.000 0.500
Te1 Te 0.002 0.500 0.734
Te2 Te 0.160 0.000 0.590
Te3 Te 0.171 0.000 0.075
```

Summary:
DOS(E_F) in states/eV per cell: 45.06
ρ in Mg/m³: 7.3
Raw total energy in eV/cell: -134.3
E_form (uncorrected) in meV/atom: -1268

***

[10]
DFT (PBE-GGA) results for a relaxed Cd2PRh2 crystal.

The structure in CIF format:
```
data_Cd2PRh2
_chemical_formula_sum 'Cd4 P2 Rh4'
_cell_length_a 6.109
_cell_length_b 6.109
_cell_length_c 4.599
_cell_angle_alpha 90.00
_cell_angle_beta 90.00
_cell_angle_gamma 90.00
_symmetry_space_group_name_H-M 'P 4/m b m'
_symmetry_Int_Tables_number 127
_symmetry_space_group_name_Hall '-P 4 2ab'
loop_
_atom_site_label
_atom_site_type_symbol
_atom_site_fract_x
_atom_site_fract_y
_atom_site_fract_z
Cd1 Cd 0.161 0.339 0.000
P1 P 0.000 0.000 0.500
Rh1 Rh 0.162 0.662 0.500
```

Summary:
DOS(E_F) in states/eV per cell: 4.27
ρ in Mg/m³: 8.9
Raw total energy in eV/cell: -47.1
Calculated formation energy in kJ/mol of formula units: -156

***

[11]
DFT (PBE-GGA) results for a relaxed Ta2AgSnGe crystal.

The structure in CIF format:
```
data_Ta2AgSnGe
_chemical_formula_sum 'Ta2 Ag1 Sn1 Ge1'
_cell_length_a 5.147
_cell_length_b 5.147
_cell_length_c 5.143
_cell_angle_alpha 90.00
_cell_angle_beta 90.00
_cell_angle_gamma 90.00
_symmetry_space_group_name_H-M 'P 4/m m m'
_symmetry_Int_Tables_number 123
_symmetry_space_group_name_Hall '-P 4 2'
loop_
_atom_site_label
_atom_site_type_symbol
_atom_site_fract_x
_atom_site_fract_y
_atom_site_fract_z
Ta1 Ta 0.000 0.500 0.000
Ag1 Ag 0.000 0.000 0.500
Sn1 Sn 0.500 0.500 0.000
Ge1 Ge 0.500 0.500 0.500
```

Summary:
DOS(E_F) in states/eV per cell: 5.58
ρ in Mg/m³: 8.1
Raw total energy in eV/cell: -25.6
Calculated formation energy in kJ/mol of formula units: 927